No. 1
The following is a PBE calculation of a geometry-optimized Na5Nd3H12 structure, from Alexandria via LeMat-Bulk.

Results
calculated volume: 2289.2 Å³ per cell
D(E_F): 0.3059 states/eV/atom
DFT total energy: -66.89 eV per formula unit

Lattice parameters (Å, degrees): 13.1794 13.1794 13.1794 90.00 90.00 90.00
With the nearest neighbours (Å) after each atom.
Space group Ia-3d (No. 230)
Asymmetric unit:
Na  0.0000  0.0000  0.0000 (multiplicity 16)  6 H 2.29
Na  0.0000  0.2500  0.3750 (multiplicity 24)  4 H 2.13
Nd  0.0000  0.2500  0.1250 (multiplicity 24)  8 H 2.39-2.40
H  0.0144  0.0725  0.6576 (multiplicity 96)  2 Na 2.13-2.29

No. 2
The following is a PBE calculation of a geometry-optimized ReIN2 structure, from Alexandria via LeMat-Bulk.

Results
calculated volume: 192.0 Å³ per cell
D(E_F): 0.7152 states/eV/atom
formation energy (no corrections): 2.096 eV per atom

Lattice parameters (Å, degrees): 5.7690 5.7690 5.7690 90.00 90.00 90.00
With the nearest neighbours (Å) after each atom.
Space group Fm-3m (No. 225)
Asymmetric unit:
Re  0.0000  0.0000  0.0000 (multiplicity 4)  8 N 2.50
I  0.0000  0.0000  0.5000 (multiplicity 4)  8 N 2.50
N  0.2500  0.2500  0.2500 (multiplicity 8)  4 I 2.50, 4 Re 2.50

No. 3
The following is a PBE calculation of a geometry-optimized CaCuSb structure, from Alexandria via LeMat-Bulk.

Results
calculated volume: 142.3 Å³ per cell
D(E_F): 0.0320 states/eV/atom
formation energy (no corrections): -0.675 eV per atom

Lattice parameters (Å, degrees): 4.4728 4.4728 8.2147 90.00 90.00 120.00
With the nearest neighbours (Å) after each atom.
Space group P6_3/mmc (No. 194)
Asymmetric unit:
Ca  0.0000  0.0000  0.0000 (multiplicity 2)  6 Sb 3.30, 6 Cu 3.30
Cu  0.3333  0.6667  0.2500 (multiplicity 2)  3 Sb 2.58
Sb  0.3333  0.6667  0.7500 (multiplicity 2)  3 Cu 2.58

No. 4
The following is a PBE calculation of a geometry-optimized CaInAu2 structure, from Alexandria via LeMat-Bulk.

Results
calculated volume: 93.7 Å³ per cell
D(E_F): 0.4069 states/eV/atom
DFT total energy: -13.52 eV per formula unit

Lattice parameters (Å, degrees): 3.9002 4.4779 5.6954 90.00 109.57 90.00
With the nearest neighbours (Å) after each atom.
Space group Pm (No. 6)
Asymmetric unit:
Ca  0.0000  0.0000  0.0000 (multiplicity 1)  7 Au 2.93-3.13
In  0.7129  0.5000  0.4198 (multiplicity 1)  7 Au 2.89-3.17
Au  0.2750  0.0000  0.5454 (multiplicity 1)  2 Au 2.88, 3 Ca 2.93-3.13, 4 In 3.04-3.05
Au  0.4437  0.5000  0.8819 (multiplicity 1)  2 Au 2.88, 3 In 2.89-3.17, 4 Ca 3.03-3.04

No. 5
The following is a PBE calculation of a geometry-optimized UNb2S3 structure, from Alexandria via LeMat-Bulk.

Results
calculated volume: 447.5 Å³ per cell
D(E_F): 1.0666 states/eV/atom
formation energy (no corrections): -0.806 eV per atom

Lattice parameters (Å, degrees): 19.4114 3.3140 7.1155 90.00 102.13 90.00
With the nearest neighbours (Å) after each atom.
Space group C2/m (No. 12)
Asymmetric unit:
U  0.1682  0.0000  0.4638 (multiplicity 4)  6 S 2.69-2.85
Nb  0.0357  0.5000  0.3388 (multiplicity 4)  4 S 2.45-2.62
Nb  0.1779  0.0000  0.9561 (multiplicity 4)  6 S 2.47-2.68
S  0.0736  0.0000  0.1284 (multiplicity 4)  3 Nb 2.45-2.58, 1 U 2.69
S  0.1016  0.5000  0.6981 (multiplicity 4)  4 Nb 2.61-2.68, 2 U 2.85
S  0.2238  0.5000  0.2161 (multiplicity 4)  3 Nb 2.47-2.50, 1 U 2.75

No. 6
The following is a PBE calculation of a geometry-optimized CoReTe2 structure, from Alexandria via LeMat-Bulk.

Results
calculated volume: 153.4 Å³ per cell
D(E_F): 1.4494 states/eV/atom
formation energy (no corrections): 1.000 eV per atom

Lattice parameters (Å, degrees): 3.3536 5.4606 8.3776 90.00 90.00 90.00
With the nearest neighbours (Å) after each atom.
Space group Cmmm (No. 65)
Asymmetric unit:
Co  0.0000  0.0000  0.0000 (multiplicity 2)  4 Te 2.62
Re  0.0000  0.0000  0.5000 (multiplicity 2)  4 Te 2.75
Te  0.0000  0.5000  0.2405 (multiplicity 4)  2 Co 2.62, 2 Re 2.75

No. 7
The following is a PBE calculation of a geometry-optimized TaPt6Rh2 structure, from Alexandria via LeMat-Bulk.

Results
calculated volume: 277.8 Å³ per cell
D(E_F): 1.0195 states/eV/atom
DFT total energy: -66.53 eV per formula unit

Lattice parameters (Å, degrees): 8.3921 8.3921 3.9447 90.00 90.00 90.00
With the nearest neighbours (Å) after each atom.
Space group P4_2/mnm (No. 136)
Asymmetric unit:
Ta  0.0000  0.0000  0.0000 (multiplicity 2)  4 Rh 2.75, 8 Pt 2.76
Pt  0.9997  0.3291  0.0000 (multiplicity 8)  1 Ta 2.76, 3 Rh 2.77-2.85, 8 Pt 2.78-2.87
Pt  0.1625  0.1625  0.5000 (multiplicity 4)  4 Rh 2.72-2.87, 2 Ta 2.76, 6 Pt 2.78-2.83
Rh  0.1613  0.8387  0.5000 (multiplicity 4)  10 Pt 2.72-2.87, 2 Ta 2.75

No. 8
The following is a PBE calculation of a geometry-optimized Y2Er8Cd structure, from Alexandria via LeMat-Bulk.

Results
calculated volume: 698.1 Å³ per cell
D(E_F): 1.5172 states/eV/atom
DFT total energy: -48.24 eV per formula unit

Lattice parameters (Å, degrees): 15.2447 7.5412 6.3818 90.00 107.93 90.00
With the nearest neighbours (Å) after each atom.
Space group C2/m (No. 12)
Asymmetric unit:
Y  0.1177  0.0000  0.4771 (multiplicity 4)  1 Cd 3.02, 3 Er 3.21-3.37
Er  0.0623  0.2984  0.7730 (multiplicity 8)  1 Cd 2.98, 1 Er 3.04, 1 Y 3.21
Er  0.1476  0.5000  0.3035 (multiplicity 4)  1 Y 3.42, 6 Er 3.44-3.80
Er  0.2230  0.0000  0.0830 (multiplicity 4)  1 Cd 3.28, 1 Y 3.37, 5 Er 3.46-3.60
Cd  0.0000  0.0000  0.0000 (multiplicity 2)  6 Er 2.98-3.28, 2 Y 3.02

No. 9
The following is a PBE calculation of a geometry-optimized KNbCuO4 structure, from Alexandria via LeMat-Bulk.

Results
calculated volume: 250.5 Å³ per cell
D(E_F): 0.0028 states/eV/atom
formation energy (no corrections): -1.723 eV per atom

Lattice parameters (Å, degrees): 6.8439 5.5393 6.9779 90.00 108.74 90.00
With the nearest neighbours (Å) after each atom.
Space group P2_1/m (No. 11)
Asymmetric unit:
K  0.2146  0.2500  0.9996 (multiplicity 2)  4 O 2.65-2.94
Nb  0.1875  0.7500  0.6344 (multiplicity 2)  4 O 1.82-1.99
Cu  0.4708  0.2500  0.5037 (multiplicity 2)  4 O 1.90-2.00
O  0.0295  0.2500  0.6026 (multiplicity 2)  1 Nb 1.83
O  0.1139  0.7500  0.8636 (multiplicity 2)  1 Nb 1.82
O  0.4114  0.5159  0.6485 (multiplicity 4)  2 Cu 1.90-2.00, 1 Nb 1.99

No. 10
The following is a PBE calculation of a geometry-optimized BaPu2 structure, from Alexandria via LeMat-Bulk.

Results
calculated volume: 878.0 Å³ per cell
D(E_F): 5.2443 states/eV/atom
DFT total energy: -29.27 eV per formula unit

Lattice parameters (Å, degrees): 9.5755 9.5755 9.5755 90.00 90.00 90.00
With the nearest neighbours (Å) after each atom.
Space group Fd-3m (No. 227, origin choice 2)
Asymmetric unit:
Ba  0.1250  0.1250  0.1250 (multiplicity 8)  12 Pu 3.97, 4 Ba 4.15
Pu  0.0000  0.0000  0.5000 (multiplicity 16)  6 Pu 3.39

No. 11
The following is a PBE calculation of a geometry-optimized La6Ir3Cl structure, from Alexandria via LeMat-Bulk.

Results
calculated volume: 622.0 Å³ per cell
D(E_F): 0.6200 states/eV/atom
formation energy (no corrections): -0.860 eV per atom

Lattice parameters (Å, degrees): 12.3471 4.2408 12.6776 90.00 110.45 90.00
With the nearest neighbours (Å) after each atom.
Space group P2_1/m (No. 11)
Asymmetric unit:
La  0.0421  0.2500  0.3918 (multiplicity 2)  4 Ir 2.93-3.08
La  0.0868  0.2500  0.9336 (multiplicity 2)  3 Ir 2.84-2.94
La  0.2270  0.7500  0.2551 (multiplicity 2)  3 Ir 2.83-3.11
La  0.2654  0.2500  0.7041 (multiplicity 2)  3 Ir 2.88-3.02
La  0.4056  0.7500  0.5480 (multiplicity 2)  3 Ir 2.86-2.89
La  0.4328  0.2500  0.1397 (multiplicity 2)  2 Ir 2.84, 1 Cl 3.03
Ir  0.0712  0.2500  0.1599 (multiplicity 2)  6 La 2.83-3.08
Ir  0.1705  0.7500  0.5442 (multiplicity 2)  6 La 2.88-3.01
Ir  0.4905  0.7500  0.2983 (multiplicity 2)  6 La 2.84-3.11
Cl  0.3558  0.7500  0.9296 (multiplicity 2)  3 La 3.03-3.28

No. 12
The following is a PBE calculation of a geometry-optimized NbW2Se4S2 structure, from Alexandria via LeMat-Bulk.

Results
calculated volume: 205.8 Å³ per cell
D(E_F): 0.4055 states/eV/atom
formation energy (no corrections): -0.721 eV per atom

Lattice parameters (Å, degrees): 3.3357 3.3357 21.3565 90.00 90.00 120.00
With the nearest neighbours (Å) after each atom.
Space group P3m1 (No. 156)
Asymmetric unit:
Nb  0.0000  0.0000  0.0000 (multiplicity 1)  6 S 2.49
W  0.0000  0.0000  0.6548 (multiplicity 1)  6 Se 2.55
W  0.6667  0.3333  0.3194 (multiplicity 1)  6 Se 2.55
Se  0.0000  0.0000  0.2408 (multiplicity 1)  3 W 2.55
Se  0.0000  0.0000  0.3980 (multiplicity 1)  3 W 2.55
Se  0.6667  0.3333  0.5763 (multiplicity 1)  3 W 2.55
Se  0.6667  0.3333  0.7334 (multiplicity 1)  3 W 2.55
S  0.6667  0.3333  0.0737 (multiplicity 1)  3 Nb 2.49
S  0.6667  0.3333  0.9263 (multiplicity 1)  3 Nb 2.49

No. 13
The following is a PBE calculation of a geometry-optimized Zr2MoRh structure, from Alexandria via LeMat-Bulk.

Results
calculated volume: 75.2 Å³ per cell
D(E_F): 1.1775 states/eV/atom
DFT total energy: -35.61 eV per formula unit

Lattice parameters (Å, degrees): 2.9273 2.9273 8.7733 90.00 90.00 90.00
With the nearest neighbours (Å) after each atom.
Space group P4mm (No. 99)
Asymmetric unit:
Zr  0.0000  0.0000  0.0000 (multiplicity 1)  4 Rh 2.92, 4 Zr 2.93
Zr  0.5000  0.5000  0.3149 (multiplicity 1)  4 Zr 2.93, 4 Mo 3.04
Mo  0.0000  0.0000  0.5692 (multiplicity 1)  4 Rh 2.69, 4 Mo 2.93
Rh  0.5000  0.5000  0.7657 (multiplicity 1)  4 Mo 2.69, 4 Zr 2.92, 4 Rh 2.93

No. 14
The following is a PBE calculation of a geometry-optimized InAgSn structure, from Alexandria via LeMat-Bulk.

Results
calculated volume: 142.0 Å³ per cell
D(E_F): 0.5833 states/eV/atom
DFT total energy: -9.42 eV per formula unit

Lattice parameters (Å, degrees): 3.3525 3.3525 12.6316 90.00 90.00 90.00
With the nearest neighbours (Å) after each atom.
Space group I4mm (No. 107)
Asymmetric unit:
In  0.0000  0.0000  0.0000 (multiplicity 2)  4 Ag 3.05, 4 In 3.35, 4 Sn 3.39
Ag  0.0000  0.0000  0.3475 (multiplicity 2)  4 In 3.05, 4 Sn 3.08, 4 Ag 3.35
Sn  0.0000  0.0000  0.6923 (multiplicity 2)  4 Ag 3.08, 4 Sn 3.35, 4 In 3.39

No. 15
The following is a PBE calculation of a geometry-optimized HoPuAg2 structure, from Alexandria via LeMat-Bulk.

Results
calculated volume: 96.5 Å³ per cell
D(E_F): 2.5292 states/eV/atom
DFT total energy: -25.02 eV per formula unit

Lattice parameters (Å, degrees): 3.5501 3.5501 7.6605 90.00 90.00 90.00
With the nearest neighbours (Å) after each atom.
Space group P4/mmm (No. 123)
Asymmetric unit:
Ho  0.0000  0.0000  0.0000 (multiplicity 1)  8 Ag 3.07
Pu  0.0000  0.0000  0.5000 (multiplicity 1)  8 Ag 3.24, 4 Pu 3.55
Ag  0.5000  0.5000  0.2317 (multiplicity 2)  4 Ho 3.07, 4 Pu 3.24

No. 16
The following is a PBE calculation of a geometry-optimized Nd4TeSe2S structure, from Alexandria via LeMat-Bulk.

Results
calculated volume: 220.3 Å³ per cell
D(E_F): 0.4024 states/eV/atom
formation energy (no corrections): -1.758 eV per atom

Lattice parameters (Å, degrees): 7.4015 4.2334 7.4421 90.00 109.13 90.00
With the nearest neighbours (Å) after each atom.
Space group P2/m (No. 10)
Asymmetric unit:
Nd  0.2411  0.0000  0.2194 (multiplicity 2)  1 S 2.90, 3 Se 2.90-3.16, 2 Te 3.14
Nd  0.2591  0.5000  0.7773 (multiplicity 2)  2 S 2.91, 3 Se 2.92-3.13, 1 Te 3.14
Te  0.5000  0.5000  0.5000 (multiplicity 1)  6 Nd 3.14
Se  0.0000  0.0000  0.5000 (multiplicity 1)  6 Nd 3.13-3.16
Se  0.0000  0.5000  0.0000 (multiplicity 1)  6 Nd 2.90-2.92
S  0.5000  0.0000  0.0000 (multiplicity 1)  6 Nd 2.90-2.91

No. 17
The following is a PBE calculation of a geometry-optimized ThCd2Hg4 structure, from Alexandria via LeMat-Bulk.

Results
calculated volume: 547.3 Å³ per cell
D(E_F): 0.7728 states/eV/atom
DFT total energy: -11.28 eV per formula unit

Lattice parameters (Å, degrees): 5.0529 5.0529 24.7538 90.00 90.00 120.00
With the nearest neighbours (Å) after each atom.
Space group R-3m (No. 166, hexagonal axes)
Asymmetric unit:
Th  0.0000  0.0000  0.0000 (multiplicity 3)  8 Hg 3.24-3.31, 6 Cd 3.51
Cd  0.0000  0.0000  0.2544 (multiplicity 6)  7 Hg 2.97-3.22
Hg  0.0000  0.0000  0.1337 (multiplicity 6)  4 Cd 2.99-3.22, 1 Th 3.31, 3 Hg 3.34
Hg  0.0000  0.0000  0.3902 (multiplicity 6)  3 Cd 2.97, 3 Th 3.24